--- one ---
ScAsPb after structural relaxation, computed with PBE.

```
ScAsPb
1.0
4.8207 0.0000 0.0000
2.4103 4.1748 0.0000
2.4103 1.3916 3.9361
As Pb Sc
1 1 1
Direct
0.0000 0.0000 0.0000
0.5000 0.5000 0.5000
0.7500 0.7500 0.7500
```

total magnetic moment: 0.000 μB per formula unit
SG: F-43m, No. 216
DOS(E_F): 2.86 states/eV per cell

***

--- two ---
ScAsPb after structural relaxation, computed with PBE.

```
ScAsPb
1.0
4.8354 0.0000 0.0000
2.4177 4.1876 0.0000
2.4177 1.3959 3.9481
As Pb Sc
1 1 1
Direct
0.7500 0.7500 0.7500
0.0000 0.0000 0.0000
0.5000 0.5000 0.5000
```

total magnetic moment: 0.000 μB per formula unit
SG: F-43m, No. 216
DOS(E_F): 2.17 states/eV per cell

***

--- three ---
ScAsPb after structural relaxation, computed with PBE.

```
ScAsPb
1.0
4.5315 0.0000 0.0000
-2.2657 3.9244 0.0000
0.0000 0.0000 4.3664
As Pb Sc
1 1 1
Direct
0.0000 0.0000 0.8338
0.3333 0.6667 0.3333
0.6667 0.3333 0.8329
```

total magnetic moment: 0.000 μB per formula unit
SG: P-6m2, No. 187
DOS(E_F): 2.39 states/eV per cell

***

If we sort the structures by their calculated energies, the order from most to least stable is three, two, one.

***

--- one ---
ScAsPb after structural relaxation, computed with PBE.

```
ScAsPb
1.0
6.1742 0.0004 -0.0005
5.0710 3.5219 0.0005
1.1031 0.3442 3.5046
As Pb Sc
1 1 1
Direct
0.0618 0.0618 0.9382
0.3223 0.3223 0.6777
0.6160 0.6160 0.3840
```

total magnetic moment: 0.000 μB per formula unit
SG: I4mm, No. 107
DOS(E_F): 1.40 states/eV per cell

***

--- two ---
ScAsPb after structural relaxation, computed with PBE.

```
ScAsPb
1.0
6.9357 0.0000 0.0000
0.0000 6.9357 0.0000
0.0000 0.0000 6.9357
As Pb Sc
4 4 4
Direct
0.6555 0.6555 0.6555
0.8445 0.3445 0.1555
0.1555 0.8445 0.3445
0.3445 0.1555 0.8445
0.4164 0.4164 0.4164
0.0836 0.5836 0.9164
0.9164 0.0836 0.5836
0.5836 0.9164 0.0836
0.0442 0.0442 0.0442
0.4558 0.9558 0.5442
0.5442 0.4558 0.9558
0.9558 0.5442 0.4558
```

total magnetic moment: 0.000 μB per formula unit
SG: P2_13, No. 198
DOS(E_F): 11.44 states/eV per cell

***

--- three ---
ScAsPb after structural relaxation, computed with PBE.

```
ScAsPb
1.0
-1.2205 -3.4749 1.3462
1.9197 0.2163 -3.4124
5.1478 -0.7034 2.8514
As Pb Sc
1 1 1
Direct
0.0000 0.0000 0.9535
0.6667 0.3333 0.3173
0.3333 0.6667 0.7291
```

total magnetic moment: 0.000 μB per formula unit
SG: P3m1, No. 156
DOS(E_F): 1.85 states/eV per cell

***

If we sort the structures by their calculated energies, the order from most to least stable is one, two, three.

***

--- one ---
Sc2As2Pb after structural relaxation, computed with PBE.

```
Sc2As2Pb
1.0
-4.5783 3.7407 5.0672
3.0285 -4.1854 5.8260
2.5736 2.5148 0.4688
Pb Sc As
2 4 4
Direct
0.0000 0.0000 0.0000
0.5000 0.5000 0.0000
0.1477 0.6477 0.5000
0.6477 0.8523 0.5000
0.8523 0.3523 0.5000
0.3523 0.1477 0.5000
0.3543 0.8543 0.0000
0.8543 0.6457 0.0000
0.6457 0.1457 0.0000
0.1457 0.3543 0.0000
```

total magnetic moment: 0.000 μB per formula unit
SG: P4/mbm, No. 127
DOS(E_F): 5.77 states/eV per cell

***

--- two ---
Sc2As2Pb after structural relaxation, computed with PBE.

```
Sc2As2Pb
1.0
-2.4998 -1.7279 4.1653
-4.0782 -1.1662 -2.9313
-1.6456 -5.4743 -0.0673
Pb Sc As
1 2 2
Direct
0.0000 0.0000 0.0000
0.7500 0.2500 0.5000
0.2500 0.7500 0.5000
0.3492 0.3492 0.3016
0.6508 0.6508 0.6984
```

total magnetic moment: 0.000 μB per formula unit
SG: I4/mmm, No. 139
DOS(E_F): 3.00 states/eV per cell

***

If we sort the structures by their calculated energies, the order from most to least stable is one, two.

***

--- one ---
ScAs2PbSe after structural relaxation, computed with PBE.

```
ScAs2PbSe
1.0
-1.2532 1.1352 -4.8511
-1.0887 -4.9437 -0.8756
-4.9101 0.8225 1.4609
Pb Sc As Se
1 1 2 1
Direct
0.5000 0.5000 0.5000
0.0000 0.0000 0.0000
0.0000 0.5000 0.0000
0.5000 0.0000 0.0000
0.0000 0.0000 0.5000
```

total magnetic moment: 0.000 μB per formula unit
SG: P4/mmm, No. 123
DOS(E_F): 4.29 states/eV per cell

***

--- two ---
ScAs2PbSe after structural relaxation, computed with PBE.

```
ScAs2PbSe
1.0
5.2786 0.0000 0.0000
0.0000 5.2786 0.0000
0.0000 0.0000 5.3966
Pb Sc As Se
1 1 2 1
Direct
0.0000 0.0000 0.0000
0.5000 0.5000 0.5000
0.0000 0.5000 0.0000
0.5000 0.0000 0.0000
0.0000 0.0000 0.5000
```

total magnetic moment: 0.000 μB per formula unit
SG: P4/mmm, No. 123
DOS(E_F): 4.93 states/eV per cell

***

If we sort the structures by their calculated energies, the order from most to least stable is one, two.

***

--- one ---
As2PbSe after structural relaxation, computed with PBE.

```
As2PbSe
1.0
5.8367 0.0000 0.0000
0.0000 5.8367 0.0000
2.9184 2.9184 7.3807
Pb As Se
2 4 2
Direct
0.0000 0.0000 0.0000
0.7500 0.2500 0.5000
0.5765 0.1250 0.2500
0.1735 0.6250 0.2500
0.3750 0.4235 0.7500
0.8750 0.8265 0.7500
0.5000 0.5000 0.0000
0.2500 0.7500 0.5000
```

total magnetic moment: 0.000 μB per formula unit
SG: I-42d, No. 122
DOS(E_F): 3.76 states/eV per cell

***

--- two ---
As2PbSe after structural relaxation, computed with PBE.

```
As2PbSe
1.0
-1.4316 -5.2830 3.4093
4.0628 -4.7564 1.5665
-0.6257 6.4180 -0.0314
Pb As Se
1 2 1
Direct
0.2500 0.7500 0.5000
0.0000 0.0000 0.0000
0.5000 0.5000 0.0000
0.7500 0.2500 0.5000
```

total magnetic moment: 0.000 μB per formula unit
SG: I4/mmm, No. 139
DOS(E_F): 3.25 states/eV per cell

***

--- three ---
As2PbSe after structural relaxation, computed with PBE.

```
As2PbSe
1.0
-5.0415 4.8697 3.5602
-7.3252 2.6164 1.1410
-6.1746 1.1926 4.7178
Pb As Se
1 2 1
Direct
0.4917 0.4917 0.4917
0.9886 0.9886 0.9886
0.2676 0.2676 0.2676
0.7521 0.7521 0.7521
```

total magnetic moment: 0.000 μB per formula unit
SG: R3m, No. 160
DOS(E_F): 0.26 states/eV per cell

***

If we sort the structures by their calculated energies, the order from most to least stable is three, one, two.

***

--- one ---
As3PbSe after structural relaxation, computed with PBE.

```
As3PbSe
1.0
-0.1991 -3.4930 4.0814
4.5425 -2.2897 -1.7381
2.8678 3.3844 3.0364
Pb As Se
1 3 1
Direct
0.0000 0.0000 0.0000
0.0000 0.5000 0.0000
0.0000 0.0000 0.5000
0.5000 0.0000 0.0000
0.5000 0.5000 0.5000
```

total magnetic moment: 0.000 μB per formula unit
SG: Pm-3m, No. 221
DOS(E_F): 6.21 states/eV per cell

***

--- two ---
As3PbSe after structural relaxation, computed with PBE.

```
As3PbSe
1.0
5.0832 0.0000 0.0000
0.0000 5.0832 0.0000
0.0000 0.0000 5.0832
Pb As Se
1 3 1
Direct
0.5000 0.5000 0.5000
0.0000 0.5000 0.0000
0.0000 0.0000 0.5000
0.5000 0.0000 0.0000
0.0000 0.0000 0.0000
```

total magnetic moment: 0.000 μB per formula unit
SG: Pm-3m, No. 221
DOS(E_F): 4.89 states/eV per cell

***

If we sort the structures by their calculated energies, the order from most to least stable is two, one.

***

--- one ---
As2Pb2Se after structural relaxation, computed with PBE.

```
As2Pb2Se
1.0
-6.8058 -2.2594 -3.0564
3.6481 -5.6424 -3.9521
-0.5912 -2.7050 3.3161
Pb As Se
4 4 2
Direct
0.1504 0.6504 0.5000
0.6504 0.8496 0.5000
0.8496 0.3496 0.5000
0.3496 0.1504 0.5000
0.3288 0.8288 0.0000
0.8288 0.6712 0.0000
0.6712 0.1712 0.0000
0.1712 0.3288 0.0000
0.0000 0.0000 0.0000
0.5000 0.5000 0.0000
```

total magnetic moment: 0.000 μB per formula unit
SG: P4/mbm, No. 127
DOS(E_F): 4.56 states/eV per cell

***

--- two ---
As2Pb2Se after structural relaxation, computed with PBE.

```
As2Pb2Se
1.0
3.9334 0.0000 0.0000
0.0000 3.9334 0.0000
1.9667 1.9667 8.5021
Pb As Se
2 2 1
Direct
0.3975 0.3975 0.2050
0.6025 0.6025 0.7950
0.7500 0.2500 0.5000
0.2500 0.7500 0.5000
0.0000 0.0000 0.0000
```

total magnetic moment: 0.000 μB per formula unit
SG: I4/mmm, No. 139
DOS(E_F): 1.23 states/eV per cell

***

--- three ---
As2Pb2Se after structural relaxation, computed with PBE.

```
As2Pb2Se
1.0
8.4079 0.0000 0.0000
0.0000 8.4079 0.0000
0.0000 0.0000 4.6376
Pb As Se
4 4 2
Direct
0.2515 0.7515 0.0000
0.7515 0.7485 0.0000
0.7485 0.2485 0.0000
0.2485 0.2515 0.0000
0.0965 0.5965 0.5000
0.5965 0.9035 0.5000
0.9035 0.4035 0.5000
0.4035 0.0965 0.5000
0.0000 0.0000 0.0000
0.5000 0.5000 0.0000
```

total magnetic moment: 0.000 μB per formula unit
SG: P4/mbm, No. 127
DOS(E_F): 1.11 states/eV per cell

***

If we sort the structures by their calculated energies, the order from most to least stable is two, three, one.

***

--- one ---
AsPbSe after structural relaxation, computed with PBE.

```
AsPbSe
1.0
4.8990 0.0000 0.0000
2.4495 4.2427 0.0000
2.4495 1.4142 4.0000
Pb As Se
1 1 1
Direct
0.0000 0.0000 0.0000
0.2500 0.2500 0.2500
0.5000 0.5000 0.5000
```

total magnetic moment: 0.000 μB per formula unit
SG: F-43m, No. 216
DOS(E_F): 0.66 states/eV per cell

***

--- two ---
AsPbSe after structural relaxation, computed with PBE.

```
AsPbSe
1.0
-1.8369 4.6202 3.3503
-4.7425 3.4429 1.2753
-1.6572 -1.3688 3.0845
Pb As Se
1 1 1
Direct
0.3371 0.3371 0.6629
0.0424 0.0424 0.9576
0.6205 0.6205 0.3795
```

total magnetic moment: 0.000 μB per formula unit
SG: Fmm2, No. 42
DOS(E_F): 2.00 states/eV per cell

***

If we sort the structures by their calculated energies, the order from most to least stable is two, one.

***

--- one ---
AsPbSe after structural relaxation, computed with PBE.

```
AsPbSe
1.0
5.9409 0.0028 -0.0053
3.0408 5.1037 0.0053
-4.3890 -2.7324 2.9266
Pb As Se
1 1 1
Direct
0.3367 0.3367 0.0000
0.9486 0.9486 0.0000
0.7147 0.7147 0.0000
```

total magnetic moment: 0.000 μB per formula unit
SG: Imm2, No. 44
DOS(E_F): 1.46 states/eV per cell

***

--- two ---
AsPbSe after structural relaxation, computed with PBE.

```
AsPbSe
1.0
4.9739 0.0000 0.0000
2.4869 4.3075 0.0000
2.4869 1.4358 4.0612
Pb As Se
1 1 1
Direct
0.2500 0.2500 0.2500
0.5000 0.5000 0.5000
0.0000 0.0000 0.0000
```

total magnetic moment: 0.000 μB per formula unit
SG: F-43m, No. 216
DOS(E_F): 2.90 states/eV per cell

***

--- three ---
AsPbSe after structural relaxation, computed with PBE.

```
AsPbSe
1.0
4.2198 0.0000 0.0000
-2.1099 3.6544 0.0000
0.0000 0.0000 5.0368
Pb As Se
1 1 1
Direct
0.6667 0.3333 0.3247
0.0000 0.0000 0.9872
0.3333 0.6667 0.6881
```

total magnetic moment: 0.000 μB per formula unit
SG: P3m1, No. 156
DOS(E_F): 2.08 states/eV per cell

***

If we sort the structures by their calculated energies, the order from most to least stable is one, three, two.

***

--- one ---
SrAs2PbSe after structural relaxation, computed with PBE.

```
SrAs2PbSe
1.0
-2.3431 -4.9113 0.8794
-0.3483 -0.8081 -5.4415
5.1378 -2.4450 0.0343
Pb Sr As Se
1 1 2 1
Direct
0.0000 0.0000 0.0000
0.5000 0.5000 0.5000
0.0000 0.5000 0.0000
0.5000 0.0000 0.0000
0.0000 0.0000 0.5000
```

total magnetic moment: 0.001 μB per formula unit
SG: P4/mmm, No. 123
DOS(E_F): 7.74 states/eV per cell

***

--- two ---
SrAs2PbSe after structural relaxation, computed with PBE.

```
SrAs2PbSe
1.0
5.5813 0.0000 0.0000
0.0000 5.6591 0.0000
0.0000 0.0000 5.5813
Pb Sr As Se
1 1 2 1
Direct
0.5000 0.5000 0.5000
0.0000 0.0000 0.0000
0.0000 0.0000 0.5000
0.5000 0.0000 0.0000
0.0000 0.5000 0.0000
```

total magnetic moment: 0.000 μB per formula unit
SG: P4/mmm, No. 123
DOS(E_F): 6.60 states/eV per cell

***

If we sort the structures by their calculated energies, the order from most to least stable is one, two.

***

--- one ---
TcAs2PbSe after structural relaxation, computed with PBE.

```
TcAs2PbSe
1.0
4.6962 0.0000 0.0000
0.0000 4.6962 0.0000
0.0000 0.0000 5.6841
Pb As Tc Se
1 2 1 1
Direct
0.5000 0.5000 0.5000
0.0000 0.5000 0.0000
0.5000 0.0000 0.0000
0.0000 0.0000 0.0000
0.0000 0.0000 0.5000
```

total magnetic moment: 0.000 μB per formula unit
SG: P4/mmm, No. 123
DOS(E_F): 3.74 states/eV per cell

***

--- two ---
TcAs2PbSe after structural relaxation, computed with PBE.

```
TcAs2PbSe
1.0
5.2277 0.0000 0.0000
0.0000 5.2277 0.0000
0.0000 0.0000 5.2941
Pb As Tc Se
1 2 1 1
Direct
0.0000 0.0000 0.0000
0.0000 0.5000 0.0000
0.5000 0.0000 0.0000
0.5000 0.5000 0.5000
0.0000 0.0000 0.5000
```

total magnetic moment: 0.116 μB per formula unit
SG: P4/mmm, No. 123
DOS(E_F): 8.50 states/eV per cell

***

If we sort the structures by their calculated energies, the order from most to least stable is one, two.

***

--- one ---
ZnAs2PbSe after structural relaxation, computed with PBE.

```
ZnAs2PbSe
1.0
4.8625 0.0000 0.0000
0.0000 4.8625 0.0000
0.0000 0.0000 5.8692
Pb As Zn Se
1 2 1 1
Direct
0.5000 0.5000 0.5000
0.0000 0.5000 0.0000
0.5000 0.0000 0.0000
0.0000 0.0000 0.0000
0.0000 0.0000 0.5000
```

total magnetic moment: 0.001 μB per formula unit
SG: P4/mmm, No. 123
DOS(E_F): 4.66 states/eV per cell

***

--- two ---
ZnAs2PbSe after structural relaxation, computed with PBE.

```
ZnAs2PbSe
1.0
5.6377 0.0000 0.0000
0.0000 5.6377 0.0000
0.0000 0.0000 5.5428
Pb As Zn Se
1 2 1 1
Direct
0.0000 0.0000 0.0000
0.0000 0.5000 0.0000
0.5000 0.0000 0.0000
0.5000 0.5000 0.5000
0.0000 0.0000 0.5000
```

total magnetic moment: 2.232 μB per formula unit
SG: P4/mmm, No. 123
DOS(E_F): 4.63 states/eV per cell

***

If we sort the structures by their calculated energies, the order from most to least stable is one, two.